KRb2NaI4: relaxed, GGA-PBE.

Unit cell a=8.7560 b=5.0508 c=8.8138 alpha=90.00 beta=109.23 gamma=90.00
Space group P2/m (No. 10)
One atom of each set of equivalent atoms:
K 0.0000 0.0000 0.0000 (multiplicity 1)
Rb 0.0000 0.5000 0.5000 (multiplicity 1)
Rb 0.5000 0.0000 0.5000 (multiplicity 1)
Na 0.5000 0.5000 0.0000 (multiplicity 1)
I 0.2555 0.5000 0.2296 (multiplicity 2)
I 0.2690 0.0000 0.7760 (multiplicity 2)

Values from the calculation:
E_form (uncorrected)   -1.4174 eV per atom
E   -2.7364 eV per atom
V   368 Å³/cell
M_tot   0.00 μB per formula unit
Crystal system   monoclinic


K2RbNaI4: relaxed, GGA-PBE.

Unit cell a=8.6858 b=5.0107 c=8.7258 alpha=90.00 beta=109.30 gamma=90.00
Space group P2/m (No. 10)
One atom of each set of equivalent atoms:
K 0.0000 0.0000 0.0000 (multiplicity 1)
K 0.0000 0.5000 0.5000 (multiplicity 1)
Rb 0.5000 0.0000 0.5000 (multiplicity 1)
Na 0.5000 0.5000 0.0000 (multiplicity 1)
I 0.2522 0.5000 0.2327 (multiplicity 2)
I 0.2613 0.0000 0.7686 (multiplicity 2)

Values from the calculation:
E_form (uncorrected)   -1.4105 eV per atom
E   -2.7458 eV per atom
V   358 Å³/cell
M_tot   0.00 μB per formula unit
Crystal system   monoclinic


KNa2ReI8: relaxed, GGA-PBE.

Unit cell a=6.8254 b=7.3444 c=10.1161 alpha=90.01 beta=90.16 gamma=94.35
Space group P-1 (No. 2)
One atom of each set of equivalent atoms:
K 0.0000 0.0000 0.0000 (multiplicity 1)
Na 0.4990 0.5003 0.7275 (multiplicity 2)
Re 0.0000 0.0000 0.5000 (multiplicity 1)
I 0.2275 0.3268 0.4993 (multiplicity 2)
I 0.2278 0.8658 0.3062 (multiplicity 2)
I 0.2294 0.8676 0.6945 (multiplicity 2)
I 0.2466 0.4825 0.0000 (multiplicity 2)

Values from the calculation:
E_form (uncorrected)   -0.5631 eV per atom
E   -2.9451 eV per atom
V   506 Å³/cell
M_tot   2.85 μB per formula unit
Crystal system   triclinic


K2NaSI: relaxed, GGA-PBE.

Unit cell a=6.1045 b=6.1045 c=5.2235 alpha=90.00 beta=90.00 gamma=90.00
Space group P4/mmm (No. 123)
One atom of each set of equivalent atoms:
K 0.0000 0.5000 0.0000 (multiplicity 2)
Na 0.0000 0.0000 0.5000 (multiplicity 1)
S 0.0000 0.0000 0.0000 (multiplicity 1)
I 0.5000 0.5000 0.5000 (multiplicity 1)

Values from the calculation:
E_form (uncorrected)   -1.1612 eV per atom
E   -2.9995 eV per atom
V   195 Å³/cell
M_tot   0.00 μB per formula unit
Crystal system   tetragonal


KNaSb2I: relaxed, GGA-PBE.

Unit cell a=6.2456 b=6.2456 c=6.5566 alpha=90.00 beta=90.00 gamma=90.00
Space group P4/mmm (No. 123)
One atom of each set of equivalent atoms:
K 0.0000 0.0000 0.0000 (multiplicity 1)
Na 0.5000 0.5000 0.5000 (multiplicity 1)
Sb 0.0000 0.5000 0.0000 (multiplicity 2)
I 0.0000 0.0000 0.5000 (multiplicity 1)

Values from the calculation:
Distance to the lowest polymorph of the same formula   0.383 eV per atom
E_form (uncorrected)   0.4377 eV per atom
E   -2.0046 eV per atom
V   256 Å³/cell
M_tot   2.80 μB per formula unit
Crystal system   tetragonal


KNaSb2I: relaxed, GGA-PBE.

Unit cell a=5.6163 b=5.6163 c=6.4779 alpha=90.00 beta=90.00 gamma=90.00
Space group P4/mmm (No. 123)
One atom of each set of equivalent atoms:
K 0.0000 0.0000 0.0000 (multiplicity 1)
Na 0.5000 0.5000 0.5000 (multiplicity 1)
Sb 0.0000 0.5000 0.5000 (multiplicity 2)
I 0.5000 0.5000 0.0000 (multiplicity 1)

Values from the calculation:
Distance to the lowest polymorph of the same formula   0.000 eV per atom
E_form (uncorrected)   0.0550 eV per atom
E   -2.3873 eV per atom
V   204 Å³/cell
M_tot   1.92 μB per formula unit
Crystal system   tetragonal


K2NaSbI: relaxed, GGA-PBE.

Unit cell a=6.8190 b=6.8190 c=5.3373 alpha=90.00 beta=90.00 gamma=90.00
Space group P4/mmm (No. 123)
One atom of each set of equivalent atoms:
K 0.0000 0.5000 0.0000 (multiplicity 2)
Na 0.0000 0.0000 0.0000 (multiplicity 1)
Sb 0.5000 0.5000 0.5000 (multiplicity 1)
I 0.0000 0.0000 0.5000 (multiplicity 1)

Values from the calculation:
E_form (uncorrected)   -0.1238 eV per atom
E   -1.9611 eV per atom
V   248 Å³/cell
M_tot   1.01 μB per formula unit
Crystal system   tetragonal


K2NaScI6: relaxed, GGA-PBE.

Unit cell a=8.4052 b=8.4052 c=20.8370 alpha=90.00 beta=90.00 gamma=120.00
Space group R3 (No. 146, hexagonal axes)
One atom of each set of equivalent atoms:
K 0.0000 0.0000 0.0000 (multiplicity 3)
K 0.0000 0.0000 0.4933 (multiplicity 3)
Na 0.0000 0.0000 0.2149 (multiplicity 3)
Sc 0.0000 0.0000 0.7109 (multiplicity 3)
I 0.0195 0.4226 0.4567 (multiplicity 9)
I 0.0883 0.7300 0.2959 (multiplicity 9)

Values from the calculation:
E_form (uncorrected)   -1.3205 eV per atom
E   -3.2352 eV per atom
V   1275 Å³/cell
M_tot   0.00 μB per formula unit
Crystal system   trigonal